# 1
{"formula": "Zn3HSe", "functional": "meta-GGA SCAN", "state": "PBEsol geometry", "lattice_angstrom": [[4.9423, 0.0000, 0.0000], [0.0000, 4.9423, 0.0000], [0.0000, 0.0000, 4.9423]], "species": ["Zn", "H", "Zn", "Zn", "Se"], "fractional_positions": [[0.0000, 0.5000, 0.0000], [0.5000, 0.5000, 0.5000], [0.0000, 0.0000, 0.5000], [0.5000, 0.0000, 0.0000], [0.0000, 0.0000, 0.0000]], "space_group": "Pm-3m", "total_energy_ev_per_atom": -11.893, "dos_ef_per_ev_fu": 3.3, "density_g_cm3": 3.8}

---

# 2
{"formula": "AgBi6S9", "functional": "meta-GGA SCAN", "state": "PBEsol geometry", "lattice_angstrom": [[-0.5802, -2.4866, 3.3033], [-1.2529, -3.6300, -5.5912], [14.5945, -2.1234, 0.9651]], "species": ["Bi", "Ag", "S", "S", "Bi", "Bi", "S", "S", "S", "S", "S", "S", "Bi", "Bi", "Bi", "S"], "fractional_positions": [[0.7398, 0.4797, 0.3801], [0.5000, 0.0000, 0.5000], [0.5000, 0.0000, 0.0000], [0.2126, 0.4252, 0.8825], [0.2602, 0.5203, 0.6199], [0.4391, 0.8781, 0.1902], [0.3796, 0.7592, 0.3520], [0.6204, 0.2408, 0.6480], [0.7874, 0.5748, 0.1175], [0.9207, 0.8413, 0.7694], [0.8627, 0.7255, 0.5395], [0.0793, 0.1587, 0.2306], [0.5609, 0.1219, 0.8098], [0.8537, 0.7074, 0.9348], [0.1463, 0.2926, 0.0652], [0.1373, 0.2745, 0.4605]], "space_group": "C2/m", "dos_ef_per_ev_fu": 1.8, "density_g_cm3": 7.0, "formation_energy_uncorrected_ev_per_atom": -0.248}

---

# 3
{"formula": "AlIr3", "functional": "meta-GGA SCAN", "state": "PBEsol geometry", "lattice_angstrom": [[2.7435, 0.0000, 0.0000], [0.0000, 4.3748, 0.0000], [0.0000, 0.0000, 4.6467]], "species": ["Al", "Ir", "Ir", "Ir"], "fractional_positions": [[0.0000, 0.0000, 0.9905], [0.5000, 0.5000, 0.8431], [0.5000, 0.0000, 0.4909], [0.0000, 0.5000, 0.3421]], "space_group": "Pmm2", "delta_e_f_mev_per_atom": -447, "dos_ef_per_ev_fu": 3.1, "density_g_cm3": 18.0}

---

# 4
{"formula": "AgBiTe2", "functional": "meta-GGA SCAN", "state": "PBEsol geometry", "lattice_angstrom": [[4.5461, 0.0000, 0.0000], [2.2731, 3.9371, 0.0000], [2.2731, 1.3124, 8.5237]], "species": ["Te", "Bi", "Te", "Ag"], "fractional_positions": [[0.8987, 0.8987, 0.3038], [0.5000, 0.5000, 0.5000], [0.1013, 0.1013, 0.6962], [0.0000, 0.0000, 0.0000]], "space_group": "R-3m", "density_g_cm3": 6.2, "formation_energy_uncorrected_ev_per_atom": 0.017}